Below is an optimized crystal structure of SnPt2, with properties calculated at the PBE-GGA level.

Cell: 7.6561 7.6561 7.6561 Å, 90.00 90.00 90.00°
With the nearest neighbours (Å) after each atom.
Space group Fd-3m (No. 227, origin choice 2)
Symmetry-distinct sites (fractional):
Sn (0.1250, 0.1250, 0.1250) x8  12 Pt 3.17, 4 Sn 3.32
Pt (0.0000, 0.0000, 0.5000) x16  6 Pt 2.71

VASP energy: -5.576 eV per atom
ρ: 15.06 g cm⁻³